No. 1
The following is a PBE calculation of ZrHgSeBr2 after structural relaxation, from the Alexandria database.

E above lowest polymorph   0 meV per atom
Total DFT energy (no corrections)   -3.935 eV per atom
Calculated density   5.703 Mg/m³
Total moment   0.00 μB per formula unit
DOS(E_F)   1.00 states/eV/cell

Unit cell a=5.464 b=5.464 c=5.175 alpha=90.00 beta=90.00 gamma=90.00
Space group P4/mmm (No. 123)
Symmetry-distinct sites (fractional):
Zr  0.000  0.000  0.000 [1 per cell]
Hg  0.500  0.500  0.500 [1 per cell]
Se  0.000  0.000  0.500 [1 per cell]
Br  0.000  0.500  0.000 [2 per cell]



No. 2
The following is a PBE calculation of SiHg2Br after structural relaxation, from the Alexandria database.

E above lowest polymorph   323 meV per atom
Total DFT energy (no corrections)   -1.575 eV per atom
Calculated density   8.519 Mg/m³
Total moment   0.00 μB per formula unit
DOS(E_F)   1.82 states/eV/cell

Unit cell a=4.980 b=3.381 c=5.908 alpha=90.00 beta=93.89 gamma=90.00
Space group P2/m (No. 10)
Symmetry-distinct sites (fractional):
Si  0.000  0.000  0.000 [1 per cell]
Hg  0.000  0.500  0.500 [1 per cell]
Hg  0.500  0.000  0.500 [1 per cell]
Br  0.500  0.500  0.000 [1 per cell]



No. 3
The following is a PBE calculation of SiHg2Br after structural relaxation, from the Alexandria database.

E above lowest polymorph   199 meV per atom
Total DFT energy (no corrections)   -1.699 eV per atom
Calculated density   8.244 Mg/m³
Total moment   0.00 μB per formula unit
DOS(E_F)   2.74 states/eV/cell

Unit cell a=3.331 b=4.741 c=12.989 alpha=90.00 beta=90.00 gamma=90.00
Space group Immm (No. 71)
Symmetry-distinct sites (fractional):
Si  0.000  0.000  0.000 [2 per cell]
Hg  0.000  0.500  0.307 [4 per cell]
Br  0.000  0.000  0.500 [2 per cell]



No. 4
The following is a PBE calculation of SiHg2Br after structural relaxation, from the Alexandria database.

E above lowest polymorph   246 meV per atom
Total DFT energy (no corrections)   -1.652 eV per atom
Calculated density   8.795 Mg/m³
Total moment   0.00 μB per formula unit
DOS(E_F)   1.05 states/eV/cell

Unit cell a=3.568 b=3.568 c=7.551 alpha=90.00 beta=90.00 gamma=90.00
Space group P4/mmm (No. 123)
Symmetry-distinct sites (fractional):
Si  0.000  0.000  0.000 [1 per cell]
Hg  0.500  0.500  0.219 [2 per cell]
Br  0.000  0.000  0.500 [1 per cell]



No. 5
The following is a PBE calculation of SiHg2Br after structural relaxation, from the Alexandria database.

E above lowest polymorph   234 meV per atom
Total DFT energy (no corrections)   -1.664 eV per atom
Calculated density   8.040 Mg/m³
Total moment   0.00 μB per formula unit
DOS(E_F)   7.02 states/eV/cell

Unit cell a=5.722 b=8.559 c=8.588 alpha=90.00 beta=90.00 gamma=90.00
Space group Fmmm (No. 69)
Symmetry-distinct sites (fractional):
Si  0.000  0.000  0.000 [4 per cell]
Hg  0.000  0.250  0.250 [8 per cell]
Br  0.000  0.000  0.500 [4 per cell]



No. 6
The following is a PBE calculation of SiHg2Br after structural relaxation, from the Alexandria database.

E above lowest polymorph   0 meV per atom
Total DFT energy (no corrections)   -1.898 eV per atom
Calculated density   6.206 Mg/m³
Total moment   0.00 μB per formula unit
DOS(E_F)   1.49 states/eV/cell

Unit cell a=11.398 b=3.867 c=8.400 alpha=90.00 beta=132.62 gamma=90.00
Space group Cm (No. 8)
Symmetry-distinct sites (fractional):
Si  0.000  0.000  0.000 [2 per cell]
Hg  0.136  0.500  0.314 [2 per cell]
Hg  0.322  0.000  0.686 [2 per cell]
Br  0.206  0.000  0.000 [2 per cell]



No. 7
The following is a PBE calculation of SiHg2Br after structural relaxation, from the Alexandria database.

E above lowest polymorph   474 meV per atom
Total DFT energy (no corrections)   -1.423 eV per atom
Calculated density   8.430 Mg/m³
Total moment   0.84 μB per formula unit
DOS(E_F)   8.48 states/eV/cell

Unit cell a=7.375 b=7.375 c=7.375 alpha=90.00 beta=90.00 gamma=90.00
Space group Fm-3m (No. 225)
Symmetry-distinct sites (fractional):
Si  0.000  0.000  0.000 [4 per cell]
Hg  0.250  0.250  0.250 [8 per cell]
Br  0.000  0.000  0.500 [4 per cell]



No. 8
The following is a PBE calculation of SiHg2Br after structural relaxation, from the Alexandria database.

E above lowest polymorph   316 meV per atom
Total DFT energy (no corrections)   -1.581 eV per atom
Calculated density   8.314 Mg/m³
Total moment   0.00 μB per formula unit
DOS(E_F)   4.12 states/eV/cell

Unit cell a=5.574 b=10.962 c=3.329 alpha=90.00 beta=90.00 gamma=90.00
Space group Cmmm (No. 65)
Symmetry-distinct sites (fractional):
Si  0.000  0.000  0.000 [2 per cell]
Hg  0.250  0.250  0.500 [4 per cell]
Br  0.000  0.500  0.000 [2 per cell]



No. 9
The following is a PBE calculation of SiHg2Br after structural relaxation, from the Alexandria database.

E above lowest polymorph   70 meV per atom
Total DFT energy (no corrections)   -1.827 eV per atom
Calculated density   6.468 Mg/m³
Total moment   0.89 μB per formula unit
DOS(E_F)   11.64 states/eV/cell

Unit cell a=6.440 b=6.440 c=12.609 alpha=90.00 beta=90.00 gamma=90.00
Space group I-42d (No. 122)
Symmetry-distinct sites (fractional):
Si  0.000  0.000  0.000 [4 per cell]
Hg  0.180  0.250  0.125 [8 per cell]
Br  0.000  0.000  0.500 [4 per cell]



No. 10
The following is a PBE calculation of SiHg2Br after structural relaxation, from the Alexandria database.

E above lowest polymorph   193 meV per atom
Total DFT energy (no corrections)   -1.705 eV per atom
Calculated density   7.832 Mg/m³
Total moment   0.00 μB per formula unit
DOS(E_F)   3.08 states/eV/cell

Unit cell a=3.464 b=6.046 c=10.310 alpha=90.00 beta=90.00 gamma=90.00
Space group Cmm2 (No. 35)
Symmetry-distinct sites (fractional):
Si  0.000  0.000  0.000 [2 per cell]
Hg  0.000  0.000  0.499 [2 per cell]
Hg  0.000  0.500  0.768 [2 per cell]
Br  0.000  0.500  0.186 [2 per cell]



No. 11
The following is a PBE calculation of SiHgBr4 after structural relaxation, from the Alexandria database.

E above lowest polymorph   0 meV per atom
Total DFT energy (no corrections)   -2.711 eV per atom
Calculated density   3.015 Mg/m³
Total moment   0.00 μB per formula unit
DOS(E_F)   0.00 states/eV/cell

Unit cell a=12.205 b=10.988 c=9.008 alpha=90.00 beta=90.00 gamma=90.00
Space group Ama2 (No. 40)
Symmetry-distinct sites (fractional):
Si  0.250  0.058  0.000 [4 per cell]
Hg  0.000  0.000  0.545 [4 per cell]
Br  0.102  0.163  0.938 [8 per cell]
Br  0.250  0.026  0.243 [4 per cell]
Br  0.250  0.381  0.383 [4 per cell]



No. 12
The following is a PBE calculation of Si3HgBr after structural relaxation, from the Alexandria database.

E above lowest polymorph   0 meV per atom
Total DFT energy (no corrections)   -2.404 eV per atom
Calculated density   4.373 Mg/m³
Total moment   0.01 μB per formula unit
DOS(E_F)   6.46 states/eV/cell

Unit cell a=5.174 b=5.174 c=5.174 alpha=90.00 beta=90.00 gamma=90.00
Space group Pm-3m (No. 221)
Symmetry-distinct sites (fractional):
Si  0.000  0.000  0.500 [3 per cell]
Hg  0.000  0.000  0.000 [1 per cell]
Br  0.500  0.500  0.500 [1 per cell]



No. 13
The following is a PBE calculation of SiHg2Br after structural relaxation, from the Alexandria database.

E above lowest polymorph   425 meV per atom
Total DFT energy (no corrections)   -1.472 eV per atom
Calculated density   8.607 Mg/m³
Total moment   0.00 μB per formula unit
DOS(E_F)   13.39 states/eV/cell

Unit cell a=7.324 b=7.324 c=7.324 alpha=90.00 beta=90.00 gamma=90.00
Space group F-43m (No. 216)
Symmetry-distinct sites (fractional):
Si  0.000  0.000  0.000 [4 per cell]
Hg  0.000  0.000  0.500 [4 per cell]
Hg  0.250  0.250  0.750 [4 per cell]
Br  0.250  0.250  0.250 [4 per cell]



No. 14
The following is a PBE calculation of SiHg2Br after structural relaxation, from the Alexandria database.

E above lowest polymorph   390 meV per atom
Total DFT energy (no corrections)   -1.508 eV per atom
Calculated density   8.547 Mg/m³
Total moment   0.00 μB per formula unit
DOS(E_F)   3.88 states/eV/cell

Unit cell a=4.554 b=4.554 c=9.540 alpha=90.00 beta=90.00 gamma=90.00
Space group I-4m2 (No. 119)
Symmetry-distinct sites (fractional):
Si  0.000  0.000  0.000 [2 per cell]
Hg  0.000  0.000  0.500 [2 per cell]
Hg  0.000  0.500  0.250 [2 per cell]
Br  0.000  0.500  0.750 [2 per cell]



No. 15
The following is a PBE calculation of SiHg2Br after structural relaxation, from the Alexandria database.

E above lowest polymorph   187 meV per atom
Total DFT energy (no corrections)   -1.711 eV per atom
Calculated density   8.221 Mg/m³
Total moment   0.00 μB per formula unit
DOS(E_F)   1.87 states/eV/cell

Unit cell a=4.040 b=6.250 c=8.147 alpha=90.00 beta=90.00 gamma=90.00
Space group Cmmm (No. 65)
Symmetry-distinct sites (fractional):
Si  0.000  0.000  0.000 [2 per cell]
Hg  0.000  0.500  0.225 [4 per cell]
Br  0.000  0.000  0.500 [2 per cell]



No. 16
The following is a PBE calculation of SiHg2Br after structural relaxation, from the Alexandria database.

E above lowest polymorph   346 meV per atom
Total DFT energy (no corrections)   -1.551 eV per atom
Calculated density   8.240 Mg/m³
Total moment   0.00 μB per formula unit
DOS(E_F)   4.66 states/eV/cell

Unit cell a=4.220 b=4.220 c=11.525 alpha=90.00 beta=90.00 gamma=90.00
Space group I4/mmm (No. 139)
Symmetry-distinct sites (fractional):
Si  0.000  0.000  0.000 [2 per cell]
Hg  0.000  0.500  0.250 [4 per cell]
Br  0.000  0.000  0.500 [2 per cell]



No. 17
The following is a PBE calculation of SiHg2Br after structural relaxation, from the Alexandria database.

E above lowest polymorph   36 meV per atom
Total DFT energy (no corrections)   -1.861 eV per atom
Calculated density   7.676 Mg/m³
Total moment   0.00 μB per formula unit
DOS(E_F)   0.98 states/eV/cell

Unit cell a=3.801 b=3.844 c=7.538 alpha=90.00 beta=90.00 gamma=90.00
Space group Pmm2 (No. 25)
Symmetry-distinct sites (fractional):
Si  0.000  0.000  0.000 [1 per cell]
Hg  0.000  0.000  0.665 [1 per cell]
Hg  0.500  0.500  0.044 [1 per cell]
Br  0.500  0.500  0.460 [1 per cell]



No. 18
The following is a PBE calculation of SiHg2Br after structural relaxation, from the Alexandria database.

E above lowest polymorph   197 meV per atom
Total DFT energy (no corrections)   -1.701 eV per atom
Calculated density   7.798 Mg/m³
Total moment   0.00 μB per formula unit
DOS(E_F)   0.77 states/eV/cell

Unit cell a=3.546 b=4.655 c=6.716 alpha=90.00 beta=102.04 gamma=90.00
Space group Pm (No. 6)
Symmetry-distinct sites (fractional):
Si  0.000  0.000  0.000 [1 per cell]
Hg  0.061  0.000  0.404 [1 per cell]
Hg  0.661  0.500  0.583 [1 per cell]
Br  0.373  0.500  0.033 [1 per cell]



No. 19
The following is a PBE calculation of SiHg2Br after structural relaxation, from the Alexandria database.

E above lowest polymorph   239 meV per atom
Total DFT energy (no corrections)   -1.659 eV per atom
Calculated density   8.230 Mg/m³
Total moment   0.00 μB per formula unit
DOS(E_F)   1.35 states/eV/cell

Unit cell a=3.470 b=3.470 c=8.533 alpha=90.00 beta=90.00 gamma=90.00
Space group P4mm (No. 99)
Symmetry-distinct sites (fractional):
Si  0.000  0.000  0.000 [1 per cell]
Hg  0.000  0.000  0.524 [1 per cell]
Hg  0.500  0.500  0.799 [1 per cell]
Br  0.500  0.500  0.191 [1 per cell]



No. 20
The following is a PBE calculation of Si2HgBr8 after structural relaxation, from the Alexandria database.

Total DFT energy (no corrections)   -2.944 eV per atom
Calculated density   2.880 Mg/m³
Total moment   0.00 μB per formula unit
DOS(E_F)   0.00 states/eV/cell

Unit cell a=14.297 b=7.963 c=9.996 alpha=90.00 beta=114.80 gamma=90.00
Space group C2/m (No. 12)
Symmetry-distinct sites (fractional):
Si  0.212  0.000  0.188 [4 per cell]
Hg  0.000  0.000  0.500 [2 per cell]
Br  0.117  0.500  0.697 [4 per cell]
Br  0.152  0.227  0.252 [8 per cell]
Br  0.164  0.000  0.947 [4 per cell]